## NaTh2Se4 (PBE)

Data for a geometry-optimized NaTh2Se4 structure.

Unit cell a=8.318 b=8.318 c=7.363 alpha=108.40 beta=108.40 gamma=116.17
Fractional coordinates of all 14 atoms:
Na 0.125 0.875 0.500
Na 0.875 0.125 0.000
Th 0.032 0.353 0.607
Th 0.353 0.032 0.107
Th 0.498 0.676 0.396
Th 0.676 0.498 0.896
Se 0.124 0.623 0.078
Se 0.296 0.297 0.925
Se 0.297 0.296 0.425
Se 0.374 0.777 0.744
Se 0.623 0.124 0.578
Se 0.777 0.374 0.244
Se 0.783 0.880 0.257
Se 0.880 0.783 0.757

Crystal system ... monoclinic
Electronic total energy ... -5.859 eV/atom
Space-group type ... Cc
Relative energy among the computed polymorphs ... 23.4 meV per atom